# 1
# Pm6CuIr3

An optimized crystal structure of Pm6CuIr3 (PBE, Alexandria).

Geometry as POSCAR:
```
Pm6CuIr3
1.0
7.087 0.000 0.000
0.000 7.521 0.000
-6.324 0.000 10.273
Pm Cu Ir
12 2 6
Direct
0.070 0.068 0.247 Pm
0.070 0.432 0.747 Pm
0.260 0.683 0.092 Pm
0.260 0.817 0.592 Pm
0.391 0.167 0.064 Pm
0.391 0.333 0.564 Pm
0.609 0.667 0.436 Pm
0.609 0.833 0.936 Pm
0.740 0.183 0.408 Pm
0.740 0.317 0.908 Pm
0.930 0.568 0.253 Pm
0.930 0.932 0.753 Pm
0.500 0.000 0.500 Cu
0.500 0.500 0.000 Cu
0.000 0.000 0.000 Ir
0.000 0.500 0.500 Ir
0.317 0.112 0.777 Ir
0.317 0.388 0.277 Ir
0.683 0.612 0.723 Ir
0.683 0.888 0.223 Ir
```

Calculated values
**DFT total energy**: -6.368 eV per atom
**E above lowest polymorph**: 0.024 eV/atom



# 2
# Ba3Mg3Ga2

An optimized crystal structure of Ba3Mg3Ga2 (PBE, Alexandria).

Geometry as POSCAR:
```
Ba3Mg3Ga2
1.0
9.177 0.000 0.000
0.000 17.695 0.000
0.000 0.000 6.685
Ba Mg Ga
12 12 8
Direct
0.035 0.105 0.117 Ba
0.035 0.395 0.117 Ba
0.160 0.250 0.638 Ba
0.340 0.750 0.138 Ba
0.465 0.605 0.617 Ba
0.465 0.895 0.617 Ba
0.535 0.105 0.383 Ba
0.535 0.395 0.383 Ba
0.660 0.250 0.862 Ba
0.840 0.750 0.362 Ba
0.965 0.605 0.883 Ba
0.965 0.895 0.883 Ba
0.168 0.035 0.612 Mg
0.168 0.465 0.612 Mg
0.177 0.750 0.615 Mg
0.323 0.250 0.115 Mg
0.332 0.535 0.112 Mg
0.332 0.965 0.112 Mg
0.668 0.035 0.888 Mg
0.668 0.465 0.888 Mg
0.677 0.750 0.885 Mg
0.823 0.250 0.385 Mg
0.832 0.535 0.388 Mg
0.832 0.965 0.388 Mg
0.123 0.601 0.380 Ga
0.123 0.899 0.380 Ga
0.377 0.101 0.880 Ga
0.377 0.399 0.880 Ga
0.623 0.601 0.120 Ga
0.623 0.899 0.120 Ga
0.877 0.101 0.620 Ga
0.877 0.399 0.620 Ga
```

Calculated values
**DFT total energy**: -2.271 eV per atom



# 3
# NpZnCu2

An optimized crystal structure of NpZnCu2 (PBE, Alexandria).

Geometry as POSCAR:
```
NpZnCu2
1.0
2.694 0.000 0.000
0.000 2.694 0.000
0.000 0.000 8.204
Np Zn Cu
1 1 2
Direct
0.000 0.000 0.000 Np
0.000 0.000 0.500 Zn
0.500 0.500 0.287 Cu
0.500 0.500 0.713 Cu
```

Calculated values
**DFT total energy**: -5.504 eV per atom



The highest DFT total energy belongs to which entry?
Ba3Mg3Ga2



Number 1 is which compound?
Pm6CuIr3